Below is a relaxed CdReBr crystal, with properties calculated at the PBE level.

Summary:
calculated volume = 56.54 Å³/cell
formation energy (no corrections) = 1086 meV per atom
distance to the lowest polymorph of the same formula = 403 meV per atom

abc: 4.7006 4.7006 2.9549
angles: 90.00 90.00 120.00
Fractional coordinates of all 3 atoms:
Cd (0.0000, 0.0000, 0.0000)
Re (0.6667, 0.3333, 0.5000)
Br (0.3333, 0.6667, 0.5000)